Entry 1:
The following is a DFT calculation (GGA-PBE) of CsNi2Os after structural relaxation.

- crystal system = trigonal
- calculated formation energy (eV/atom) = 0.59
- polymorph energy (0 for the lowest one) (meV/atom) = 226.2
- electronic total energy (eV for the cell shown) = -63.84

Lattice parameters (Å, degrees): 4.1882 4.1882 19.3571 90.00 90.00 120.00
With the nearest neighbours (Å) after each atom.
Space group R-3m (No. 166, hexagonal axes)
Unique sites:
1 Cs 0.0000 0.0000 0.0000 [3 per cell]  2 Ni 3.34
2 Ni 0.0000 0.0000 0.1725 [6 per cell]  3 Os 2.42, 3 Ni 2.43
3 Os 0.0000 0.0000 0.5000 [3 per cell]  6 Ni 2.42

***

Entry 2:
The following is a DFT calculation (GGA-PBE) of CsNi2Os after structural relaxation.

- crystal system = triclinic
- calculated formation energy (eV/atom) = 0.37
- polymorph energy (0 for the lowest one) (meV/atom) = 0.0
- electronic total energy (eV for the cell shown) = -44.37

Lattice parameters (Å, degrees): 4.2887 4.2887 13.3745 91.98 93.77 119.67
With the nearest neighbours (Å) after each atom.
Space group P1 (No. 1)
Unique sites:
1 Cs 0.0000 0.0000 0.0000 [1 per cell]  1 Os 3.34, 2 Ni 3.50-3.51
2 Cs 0.4796 0.5208 0.3675 [1 per cell]  1 Os 3.33, 2 Ni 3.50-3.52
3 Ni 0.0463 0.7424 0.5906 [1 per cell]  3 Ni 2.48-2.49, 4 Os 2.48-2.62
4 Ni 0.4344 0.7895 0.7766 [1 per cell]  3 Ni 2.47-2.49, 4 Os 2.48-2.62
5 Ni 0.7107 0.0780 0.5905 [1 per cell]  3 Ni 2.48-2.49, 4 Os 2.48-2.63
6 Ni 0.7700 0.4535 0.7767 [1 per cell]  3 Ni 2.47-2.49, 4 Os 2.48-2.62
7 Os 0.0975 0.1183 0.7561 [1 per cell]  1 Os 2.41, 8 Ni 2.48-2.63
8 Os 0.3831 0.4135 0.6114 [1 per cell]  1 Os 2.41, 8 Ni 2.48-2.62

***

Entry 3:
The following is a DFT calculation (GGA-PBE) of CsNi2Os after structural relaxation.

- crystal system = orthorhombic
- calculated formation energy (eV/atom) = 0.56
- polymorph energy (0 for the lowest one) (meV/atom) = 198.3
- electronic total energy (eV for the cell shown) = -85.57

Lattice parameters (Å, degrees): 3.9995 4.9959 20.6738 90.00 90.00 90.00
With the nearest neighbours (Å) after each atom.
Space group Amm2 (No. 38)
Unique sites:
1 Cs 0.0000 0.0000 0.0000 [2 per cell]  2 Ni 3.42, 2 Os 3.71
2 Cs 0.5000 0.0000 0.3299 [2 per cell]  6 Ni 3.35-3.39
3 Ni 0.0000 0.0000 0.7752 [2 per cell]  2 Ni 2.28, 2 Os 2.53
4 Ni 0.5000 0.0000 0.1341 [2 per cell]  4 Os 2.46, 2 Ni 2.54
5 Ni 0.5000 0.0000 0.6127 [2 per cell]  1 Ni 2.26
6 Ni 0.5000 0.0000 0.7221 [2 per cell]  3 Ni 2.26-2.28
7 Os 0.0000 0.2449 0.1696 [4 per cell]  2 Os 2.45-2.55, 7 Ni 2.46-2.65

***

Entry 4:
The following is a DFT calculation (GGA-PBE) of Cs3NiOs after structural relaxation.

- crystal system = cubic
- calculated formation energy (eV/atom) = 1.54
- electronic total energy (eV for the cell shown) = -11.87

Lattice parameters (Å, degrees): 6.0432 6.0432 6.0432 90.00 90.00 90.00
With the nearest neighbours (Å) after each atom.
Space group Pm-3m (No. 221)
Unique sites:
1 Cs 0.0000 0.0000 0.5000 [3 per cell]  2 Os 3.02
2 Ni 0.5000 0.5000 0.5000 [1 per cell]  12 Cs 4.27
3 Os 0.0000 0.0000 0.0000 [1 per cell]  6 Cs 3.02

***

Entry 5:
The following is a DFT calculation (GGA-PBE) of CsNi3Os after structural relaxation.

- crystal system = cubic
- calculated formation energy (eV/atom) = 1.16
- polymorph energy (0 for the lowest one) (meV/atom) = 0.0
- electronic total energy (eV for the cell shown) = -23.62

Lattice parameters (Å, degrees): 4.7278 4.7278 4.7278 90.00 90.00 90.00
With the nearest neighbours (Å) after each atom.
Space group Pm-3m (No. 221)
Unique sites:
1 Cs 0.0000 0.0000 0.0000 [1 per cell]  12 Ni 3.34
2 Ni 0.0000 0.5000 0.5000 [3 per cell]  2 Os 2.36
3 Os 0.5000 0.5000 0.5000 [1 per cell]  6 Ni 2.36

***

Entry 6:
The following is a DFT calculation (GGA-PBE) of CsNi3Os after structural relaxation.

- crystal system = cubic
- calculated formation energy (eV/atom) = 2.78
- polymorph energy (0 for the lowest one) (meV/atom) = 1620.0
- electronic total energy (eV for the cell shown) = -15.52

Lattice parameters (Å, degrees): 4.6616 4.6616 4.6616 90.00 90.00 90.00
With the nearest neighbours (Å) after each atom.
Space group Pm-3m (No. 221)
Unique sites:
1 Cs 0.0000 0.0000 0.0000 [1 per cell]  6 Ni 2.33
2 Ni 0.0000 0.0000 0.5000 [3 per cell]  2 Cs 2.33
3 Os 0.5000 0.5000 0.5000 [1 per cell]  12 Ni 3.30

***

Entry 7:
The following is a DFT calculation (GGA-PBE) of CsNi2Os after structural relaxation.

- crystal system = triclinic
- calculated formation energy (eV/atom) = 0.60
- polymorph energy (0 for the lowest one) (meV/atom) = 236.5
- electronic total energy (eV for the cell shown) = -21.24

Lattice parameters (Å, degrees): 4.1927 4.1932 6.5059 88.25 86.56 60.00
With the nearest neighbours (Å) after each atom.
Space group P1 (No. 1)
Unique sites:
1 Cs 0.0000 0.0000 0.0000 [1 per cell]  2 Ni 3.25
2 Ni 0.6614 0.6712 0.5005 [1 per cell]  3 Os 2.42, 3 Ni 2.42
3 Ni 0.9948 0.0046 0.5004 [1 per cell]  3 Os 2.42, 3 Ni 2.42
4 Os 0.3281 0.3379 0.5003 [1 per cell]  6 Ni 2.42

***

Entry 8:
The following is a DFT calculation (GGA-PBE) of CsRe2NiOs after structural relaxation.

- crystal system = tetragonal
- calculated formation energy (eV/atom) = 3.99
- electronic total energy (eV for the cell shown) = -22.79

Lattice parameters (Å, degrees): 4.8734 4.8734 4.4486 90.00 90.00 90.00
With the nearest neighbours (Å) after each atom.
Space group P4/mmm (No. 123)
Unique sites:
1 Cs 0.0000 0.0000 0.0000 [1 per cell]  2 Ni 2.22, 4 Re 2.44
2 Re 0.0000 0.5000 0.0000 [2 per cell]  2 Cs 2.44
3 Ni 0.0000 0.0000 0.5000 [1 per cell]  2 Cs 2.22
4 Os 0.5000 0.5000 0.5000 [1 per cell]  8 Re 3.30, 4 Ni 3.45